DFT (PBE) results for an optimized crystal structure of Tb3Ho6Er.

- Total energy: -4.44 eV per atom
- Excess energy over the best structure of this formula in the dataset: 27 meV/atom
- Volume: 31.6 A^3/atom
- M_tot: 0.00 Bohr magnetons per cell
- Space-group type: Cmc2_1
- DFT formation energy: 0.149 eV per atom

a = 6.153 Å, b = 10.884 Å, c = 10.884 Å
α = 119.76°, β = 90.00°, γ = 90.00°
Atoms (fractional coordinates):
1 Tb 0.458 0.939 0.720
2 Tb 0.958 0.720 0.939
3 Tb 0.069 0.390 0.610
4 Tb 0.569 0.610 0.390
5 Tb 0.958 0.061 0.280
6 Tb 0.458 0.280 0.061
7 Ho 0.036 0.711 0.618
8 Ho 0.536 0.618 0.711
9 Ho 0.363 0.538 0.958
10 Ho 0.863 0.958 0.538
11 Ho 0.417 0.953 0.047
12 Ho 0.642 0.282 0.718
13 Ho 0.142 0.718 0.282
14 Ho 0.917 0.047 0.953
15 Ho 0.363 0.042 0.462
16 Ho 0.863 0.462 0.042
17 Ho 0.036 0.382 0.289
18 Ho 0.536 0.289 0.382
19 Er 0.144 0.207 0.793
20 Er 0.644 0.793 0.207

---

DFT (PBE) results for an optimized crystal structure of LiGaSn2O6.

- Total energy: -5.48 eV per atom
- Volume: 12.8 A^3/atom
- M_tot: 0.00 Bohr magnetons per cell
- Raw formation energy: -1207 meV per atom
- Space-group type: P4mm

a = 5.001 Å, b = 5.065 Å, c = 5.065 Å
α = 90.00°, β = 90.00°, γ = 90.00°
Atoms (fractional coordinates):
1 Li 0.568 0.500 0.500
2 Ga 0.581 0.000 0.000
3 Sn 0.962 0.500 0.000
4 Sn 0.962 0.000 0.500
5 O 0.745 0.247 0.247
6 O 0.745 0.247 0.753
7 O 0.182 0.500 0.500
8 O 0.212 0.000 0.000
9 O 0.745 0.753 0.753
10 O 0.745 0.753 0.247

---

DFT (PBE) results for an optimized crystal structure of TiAsOs3.

- Total energy: -8.02 eV per atom
- Excess energy over the best structure of this formula in the dataset: 0 meV/atom
- Volume: 18.0 A^3/atom
- M_tot: 0.03 Bohr magnetons per cell
- Space-group type: Pm-3m
- DFT formation energy: 1.231 eV per atom

a = 4.485 Å, b = 4.485 Å, c = 4.485 Å
α = 90.00°, β = 90.00°, γ = 90.00°
Last column: magnetic moment on the atom in μB.
Atoms (fractional coordinates):
1 As 0.000 0.000 0.000  0.00
2 Os 0.000 0.500 0.000  0.02
3 Os 0.000 0.000 0.500  0.02
4 Os 0.500 0.000 0.000  0.02
5 Ti 0.500 0.500 0.500  -0.08

---

DFT (PBE) results for an optimized crystal structure of SnPdN2.

- Total energy: -5.65 eV per atom
- Volume: 14.0 A^3/atom
- M_tot: 0.00 Bohr magnetons per cell
- Raw formation energy: 812 meV per atom
- Space-group type: R-3m

a = 6.533 Å, b = 6.533 Å, c = 6.533 Å
α = 28.51°, β = 28.51°, γ = 28.51°
Atoms (fractional coordinates):
1 Sn 0.000 0.000 0.000
2 Pd 0.500 0.500 0.500
3 N 0.885 0.885 0.885
4 N 0.115 0.115 0.115

---

DFT (PBE) results for an optimized crystal structure of Ag2Ge2S3.

- Total energy: -3.96 eV per atom
- Volume: 20.4 A^3/atom
- M_tot: 0.00 Bohr magnetons per cell
- Raw formation energy: -62 meV per atom
- Space-group type: C2/m

a = 3.454 Å, b = 8.519 Å, c = 5.120 Å
α = 104.34°, β = 90.00°, γ = 101.70°
Atoms (fractional coordinates):
1 Ag 0.575 0.151 0.731
2 Ag 0.425 0.849 0.269
3 Ge 0.131 0.263 0.377
4 Ge 0.869 0.737 0.623
5 S 0.303 0.607 0.807
6 S 0.000 0.000 0.000
7 S 0.697 0.393 0.193

---

DFT (PBE) results for an optimized crystal structure of TlCr2W.

- Total energy: -7.95 eV per atom
- Excess energy over the best structure of this formula in the dataset: 223 meV/atom
- Volume: 17.0 A^3/atom
- M_tot: 3.41 Bohr magnetons per cell
- Space-group type: R-3m
- DFT formation energy: 0.687 eV per atom

a = 8.673 Å, b = 8.673 Å, c = 8.673 Å
α = 20.18°, β = 20.18°, γ = 20.18°
Last column: magnetic moment on the atom in μB.
Atoms (fractional coordinates):
1 Cr 0.010 0.010 0.010  1.93
2 Cr 0.490 0.490 0.490  1.93
3 Tl 0.250 0.250 0.250  -0.06
4 W 0.750 0.750 0.750  -0.53